# In2MoRhF (PBE with a Hubbard U, optimized geometry)
# * density: 7.55 g/cm3
# * D(E_F): 1.31 states/eV/cell
# * symmetry: P4/mmm (123)
# * energy relative to the lowest polymorph listed for this composition: 34 meV per atom
data_In2MoRhF
_chemical_formula_sum 'In2 Mo1 Rh1 F1'
_cell_length_a 4.776
_cell_length_b 4.313
_cell_length_c 4.776
_cell_angle_alpha 90.00
_cell_angle_beta 90.00
_cell_angle_gamma 90.00
_space_group_name_H-M_alt 'P 1'
_space_group_IT_number 1
loop_
_space_group_symop_operation_xyz
'x,y,z'
loop_
_atom_site_label
_atom_site_type_symbol
_atom_site_fract_x
_atom_site_fract_y
_atom_site_fract_z
F1 F 0.000 0.000 0.000
In1 In 0.500 0.000 0.000
In2 In 0.000 0.000 0.500
Mo1 Mo 0.000 0.500 0.000
Rh1 Rh 0.500 0.500 0.500